DFT (PBEsol) results for an optimized crystal structure of Er2W3O12.

Results
Total moment in μB/cell: 0.0
Space-group type: C2/c (15)
Total energy in eV per atom: -9.3532
Formation energy without anion corrections in eV/atom: -2.6315

a = 6.713 Å, b = 6.713 Å, c = 11.182 Å
α = 100.47°, β = 100.47°, γ = 111.73°
Atoms (fractional coordinates):
Er 0.043 0.290 0.092
Er 0.290 0.043 0.592
Er 0.710 0.957 0.408
Er 0.957 0.710 0.908
W 0.134 0.866 0.250
W 0.243 0.462 0.446
W 0.462 0.243 0.946
W 0.538 0.757 0.054
W 0.757 0.538 0.554
W 0.866 0.134 0.750
O 0.076 0.659 0.103
O 0.082 0.178 0.457
O 0.096 0.467 0.295
O 0.133 0.210 0.721
O 0.178 0.082 0.957
O 0.210 0.133 0.221
O 0.226 0.668 0.561
O 0.332 0.774 0.939
O 0.341 0.924 0.397
O 0.398 0.472 0.077
O 0.467 0.096 0.795
O 0.472 0.398 0.577
O 0.528 0.602 0.423
O 0.533 0.904 0.205
O 0.602 0.528 0.923
O 0.659 0.076 0.603
O 0.668 0.226 0.061
O 0.774 0.332 0.439
O 0.790 0.867 0.779
O 0.822 0.918 0.043
O 0.867 0.790 0.279
O 0.904 0.533 0.705
O 0.918 0.822 0.543
O 0.924 0.341 0.897

=====

DFT (PBEsol) results for an optimized crystal structure of SrHgH2.

Results
Total moment in μB/cell: 0.0
Space-group type: Fm-3m (225)
Total energy in eV per atom: -2.4923

a = 4.476 Å, b = 4.476 Å, c = 4.476 Å
α = 60.00°, β = 60.00°, γ = 60.00°
Atoms (fractional coordinates):
Sr 0.000 0.000 0.000
Hg 0.500 0.500 0.500
H 0.250 0.250 0.250
H 0.750 0.750 0.750

=====

DFT (PBEsol) results for an optimized crystal structure of RbSb2TeMo.

Results
Total moment in μB/cell: 3.8
Space-group type: P4/mmm (123)
Total energy in eV per atom: -2.9421
Formation energy without anion corrections in eV/atom: 2.1447
E above lowest polymorph in meV/atom: 2021.2

a = 5.749 Å, b = 5.749 Å, c = 5.866 Å
α = 90.00°, β = 90.00°, γ = 90.00°
Atoms (fractional coordinates):
Rb 0.000 0.000 0.000
Sb 0.000 0.500 0.000
Sb 0.500 0.000 0.000
Te 0.000 0.000 0.500
Mo 0.500 0.500 0.500

=====

DFT (PBEsol) results for an optimized crystal structure of NiHOs3.

Results
Total moment in μB/cell: 3.5
Space-group type: Pm-3m (221)
Total energy in eV per atom: -6.3370

a = 4.376 Å, b = 4.376 Å, c = 4.376 Å
α = 90.00°, β = 90.00°, γ = 90.00°
Atoms (fractional coordinates):
Ni 0.000 0.000 0.000
H 0.500 0.500 0.500
Os 0.000 0.000 0.500
Os 0.000 0.500 0.000
Os 0.500 0.000 0.000